The following is a DFT calculation (PBE-GGA) of an optimized crystal structure of La8NiRuRh2.

E_form = -0.3934 eV per atom
space group = P2/m (10)

The structure in extended XYZ format:
```
12
Lattice="6.745 0.000 0.000 0.000 8.486 0.000 -0.016 0.000 6.823" Properties=species:S:1:pos:R:3 pbc="T T T"
La 1.515 2.106 1.139
La 1.515 6.380 1.139
La 1.799 0.000 4.575
La 1.834 4.243 4.585
La 4.896 4.243 2.238
La 4.930 0.000 2.248
La 5.215 2.106 5.684
La 5.215 6.380 5.684
Ni 0.000 4.243 0.000
Ru 0.000 0.000 0.000
Rh 3.365 2.136 3.412
Rh 3.365 6.350 3.412
```

***

The following is a DFT calculation (PBE-GGA) of an optimized crystal structure of LaNiRh4S8.

formation energy without anion corrections = -13.50 kcal/mol of atoms
space group = R3m (160)

The structure in extended XYZ format:
```
14
Lattice="3.586 2.070 5.898 -3.586 2.070 5.898 0.000 -4.141 5.898" Properties=species:S:1:pos:R:3 pbc="T T T"
La 0.000 0.000 0.000
Ni 0.000 0.000 8.449
Rh 0.000 -2.114 11.280
Rh -1.831 1.057 11.280
Rh 0.000 0.000 14.816
Rh 1.831 1.057 11.280
S 0.000 0.000 4.136
S -1.638 -0.946 9.808
S 0.000 -1.662 6.883
S -1.439 0.831 6.883
S 1.439 0.831 6.883
S 0.000 0.000 12.467
S 1.638 -0.946 9.808
S 0.000 1.892 9.808
```

***

The following is a DFT calculation (PBE-GGA) of an optimized crystal structure of LaNiRh2S.

formation energy without anion corrections = -1.17 kcal/mol of atoms
space group = P4/mmm (123)

The structure in extended XYZ format:
```
5
Lattice="4.375 0.000 0.000 0.000 4.375 0.000 0.000 0.000 5.384" Properties=species:S:1:pos:R:3 pbc="T T T"
La 0.000 0.000 0.000
Ni 2.187 2.187 0.000
Rh 0.000 2.187 2.692
Rh 2.187 0.000 2.692
S 0.000 0.000 2.692
```

***

The following is a DFT calculation (PBE-GGA) of an optimized crystal structure of La2Ni3Sb4Rh.

formation energy without anion corrections = -16.96 kcal/mol of atoms
space group = P-4m2 (115)

The structure in extended XYZ format:
```
10
Lattice="4.563 0.000 0.000 0.000 4.563 0.000 0.000 0.000 10.077" Properties=species:S:1:pos:R:3 pbc="T T T"
La 0.000 2.281 2.456
La 2.281 0.000 7.620
Ni 0.000 0.000 0.000
Ni 0.000 2.281 6.228
Ni 2.281 0.000 3.848
Sb 0.000 0.000 5.038
Sb 0.000 2.281 8.755
Sb 2.281 0.000 1.322
Sb 2.281 2.281 5.038
Rh 2.281 2.281 0.000
```

***

The following is a DFT calculation (PBE-GGA) of an optimized crystal structure of La2Ni4Sb3Rh.

formation energy without anion corrections = -14.35 kcal/mol of atoms
space group = P-4m2 (115)

The structure in extended XYZ format:
```
10
Lattice="4.325 0.000 0.000 0.000 4.325 0.000 0.000 0.000 10.441" Properties=species:S:1:pos:R:3 pbc="T T T"
La 0.000 2.162 2.561
La 2.162 0.000 7.879
Ni 0.000 0.000 5.220
Ni 0.000 2.162 9.066
Ni 2.162 0.000 1.375
Ni 2.162 2.162 5.220
Sb 0.000 0.000 0.000
Sb 0.000 2.162 6.553
Sb 2.162 0.000 3.888
Rh 2.162 2.162 0.000
```

***

The following is a DFT calculation (PBE-GGA) of an optimized crystal structure of La2Si3Ni12Rh.

formation energy without anion corrections = -0.82 kcal/mol of atoms
space group = R-3m (166)

The structure in extended XYZ format:
```
18
Lattice="4.253 2.456 3.973 -4.253 2.456 3.973 0.000 -4.911 3.973" Properties=species:S:1:pos:R:3 pbc="T T T"
La 0.000 0.000 1.775
La 0.000 0.000 10.145
Si -2.127 -1.228 3.973
Si -2.127 1.228 7.947
Si 0.000 2.456 3.973
Ni 0.000 -2.307 3.294
Ni -1.998 1.154 3.294
Ni -2.114 -1.221 6.263
Ni 0.000 -2.441 5.657
Ni -2.114 1.221 5.657
Ni -1.998 -1.154 8.625
Ni 1.998 1.154 3.294
Ni 2.114 -1.221 6.263
Ni 0.000 2.441 6.263
Ni 2.114 1.221 5.657
Ni 1.998 -1.154 8.625
Ni 0.000 2.307 8.625
Rh 0.000 0.000 5.960
```